A plane-wave DFT calculation with PBE was carried out for a geometry-optimized KSmCoSe3 structure.

a = 11.066 Å, b = 4.129 Å, c = 14.620 Å
α = 90.00°, β = 90.00°, γ = 90.00°
Last column: magnetic moment on the atom in μB.
Sites, in units of the cell vectors:
Sm 0.984 0.250 0.739  0.02
Sm 0.484 0.250 0.761  0.02
Sm 0.016 0.750 0.261  0.02
Sm 0.516 0.750 0.239  0.02
Se 0.597 0.250 0.114  0.12
Se 0.261 0.750 0.187  0.15
Se 0.053 0.750 0.871  0.13
Se 0.403 0.750 0.886  0.12
Se 0.447 0.250 0.371  0.13
Se 0.947 0.250 0.129  0.13
Se 0.239 0.250 0.687  0.16
Se 0.739 0.250 0.813  0.15
Se 0.761 0.750 0.313  0.15
Se 0.903 0.750 0.614  0.12
Se 0.553 0.750 0.629  0.13
Se 0.097 0.250 0.386  0.12
K 0.719 0.250 0.493  0.01
K 0.281 0.750 0.507  0.01
K 0.219 0.250 0.007  0.01
K 0.781 0.750 0.993  0.01
Co 0.235 0.750 0.784  2.17
Co 0.735 0.750 0.716  2.17
Co 0.765 0.250 0.216  2.16
Co 0.265 0.250 0.284  2.17

Summary:
Excess energy over the best structure of this formula in the dataset in eV/f.u.: 0.04
Crystal system: orthorhombic
Space group: No. 62